First-principles (SCAN) data for a PBEsol-optimized structure of HoMg, as listed in Alexandria via LeMat-Bulk.

Calculated values
For the density of states at the Fermi level, the calculation gives 1.2786 states/eV per atom. The value obtained for the calculated formation energy is -0.065 eV per atom. For the total DFT energy (no corrections), the calculation gives -27.045 eV/atom. The space-group type is Pm-3m.

Lattice parameters (Å, degrees): 3.7238 3.7238 3.7238 90.00 90.00 90.00
Closest atoms and distances in Å follow each position.
Fractional positions:
Ho: 0.0000 0.0000 0.0000  8 Mg 3.22
Mg: 0.5000 0.5000 0.5000  8 Ho 3.22